A plane-wave DFT calculation with PBE was carried out for a geometry-optimized CaAgP2 structure.

Unit cell a=4.6094 b=4.6094 c=17.0545 alpha=90.00 beta=90.00 gamma=90.00
Space group I-42d (No. 122)
Asymmetric unit:
1 Ca 0.0000 0.0000 0.0000 (multiplicity 4)
2 Ag 0.0000 0.0000 0.5000 (multiplicity 4)
3 P 0.1126 0.2500 0.6250 (multiplicity 8)

- N(E_F): 0.9 states/eV/f.u.
- E_form: -252 meV/atom